Computed, not measured: a relaxed KFeCl2O crystal at the GGA+U level of DFT.

Summary:
Theoretical density (g cm⁻³): 2.95
Magnetic moment (μB per cell): 5.00
V (Å³/f.u.): 102.46
E (eV/atom): -4.39

```
data_KFeCl2O
_cell_length_a 5.242
_cell_length_b 5.242
_cell_length_c 3.729
_cell_angle_alpha 90.00
_cell_angle_beta 90.00
_cell_angle_gamma 90.00
_symmetry_space_group_name_H-M 'P 4/m m m'
_symmetry_Int_Tables_number 123
_symmetry_space_group_name_Hall '-P 4 2'
loop_
_atom_site_label
_atom_site_type_symbol
_atom_site_fract_x
_atom_site_fract_y
_atom_site_fract_z
K1 K 0.000 0.000 0.000
Fe1 Fe 0.500 0.500 0.500
Cl1 Cl 0.000 0.500 0.500
O1 O 0.500 0.500 0.000
```